DFT (meta-GGA SCAN) results for Na2InPt2 at its PBEsol-relaxed geometry.

Values from the calculation:
**DFT formation energy**: -368 meV per atom
**Space group**: P4/mbm
**Volume**: 210.7 Å³/cell

Cell lengths 4.7245, 6.6784, 6.6784 Å; angles 90.00, 90.00, 90.00 degrees
Closest atoms and distances in Å follow each position.
Fractional coordinates of all 10 atoms:
Na 0.5000 0.3345 0.1655  6 Pt 3.03-3.10, 1 Na 3.13
Na 0.5000 0.1655 0.6655  6 Pt 3.03-3.10, 1 Na 3.13
Na 0.5000 0.8345 0.3345  6 Pt 3.03-3.10, 1 Na 3.13
Na 0.5000 0.6655 0.8345  6 Pt 3.03-3.10, 1 Na 3.13
Pt 0.0000 0.3658 0.8658  1 Pt 2.54, 2 In 2.60
Pt 0.0000 0.8658 0.6342  1 Pt 2.54, 2 In 2.60
Pt 0.0000 0.1342 0.3658  1 Pt 2.54, 2 In 2.60
Pt 0.0000 0.6342 0.1342  1 Pt 2.54, 2 In 2.60
In 0.0000 0.0000 0.0000  4 Pt 2.60
In 0.0000 0.5000 0.5000  4 Pt 2.60



DFT (meta-GGA SCAN) results for NaIn2SiPt at its PBEsol-relaxed geometry.

Values from the calculation:
**Space group**: P4/mmm
**Formation energy from raw total energies**: 0.00 eV per atom
**Volume**: 127.7 Å³/cell

Cell lengths 4.6085, 5.2631, 5.2631 Å; angles 90.00, 90.00, 90.00 degrees
Closest atoms and distances in Å follow each position.
Fractional coordinates of all 5 atoms:
In 0.0000 0.5000 0.0000  2 Pt 2.63
In 0.0000 0.0000 0.5000  2 Pt 2.63
Pt 0.0000 0.0000 0.0000  2 Si 2.30
Si 0.5000 0.0000 0.0000  2 Pt 2.30
Na 0.5000 0.5000 0.5000  8 In 3.50, 4 Si 3.72



DFT (meta-GGA SCAN) results for Rb2Na2In at its PBEsol-relaxed geometry.

Values from the calculation:
**DFT formation energy**: 95 meV per atom
**Space group**: I4/mmm
**Volume**: 239.9 Å³/cell

Cell lengths 4.5557, 4.5557, 12.0009 Å; angles 100.94, 100.94, 90.00 degrees
Closest atoms and distances in Å follow each position.
Fractional coordinates of all 5 atoms:
Rb 0.5924 0.5924 0.1848  4 In 3.87, 1 Rb 4.27, 4 Na 4.30
Rb 0.4076 0.4076 0.8152  4 In 3.87, 1 Rb 4.27, 4 Na 4.30
Na 0.7500 0.2500 0.5000  4 Na 3.22
Na 0.2500 0.7500 0.5000  4 Na 3.22
In 0.0000 0.0000 0.0000  8 Rb 3.87



DFT (meta-GGA SCAN) results for RbNa2In2 at its PBEsol-relaxed geometry.

Values from the calculation:
**DFT formation energy**: -120 meV per atom
**Space group**: P4/mbm
**Volume**: 319.6 Å³/cell

Cell lengths 3.5680, 9.4649, 9.4649 Å; angles 90.00, 90.00, 90.00 degrees
Closest atoms and distances in Å follow each position.
Fractional coordinates of all 10 atoms:
Rb 0.0000 0.5000 0.5000  2 Rb 3.57, 4 In 3.84, 8 Na 3.91
Rb 0.0000 0.0000 0.0000  2 Rb 3.57, 4 In 3.84, 8 Na 3.91
Na 0.5000 0.1797 0.6797  6 In 3.33-3.34, 2 Na 3.57
Na 0.5000 0.8203 0.3203  6 In 3.33-3.34, 2 Na 3.57
Na 0.5000 0.6797 0.8203  6 In 3.33-3.34, 2 Na 3.57
Na 0.5000 0.3203 0.1797  6 In 3.33-3.34, 2 Na 3.57
In 0.0000 0.8900 0.6100  1 In 2.94
In 0.0000 0.1100 0.3900  1 In 2.94
In 0.0000 0.6100 0.1100  1 In 2.94
In 0.0000 0.3900 0.8900  1 In 2.94



DFT (meta-GGA SCAN) results for RbNa2InSb at its PBEsol-relaxed geometry.

Values from the calculation:
**Space group**: P4/mmm
**Formation energy from raw total energies**: 0.04 eV per atom
**Volume**: 233.8 Å³/cell

Cell lengths 5.8302, 5.8302, 6.8771 Å; angles 90.00, 90.00, 90.00 degrees
Closest atoms and distances in Å follow each position.
Fractional coordinates of all 5 atoms:
Na 0.5000 0.0000 0.0000  2 Sb 2.92
Na 0.0000 0.5000 0.0000  2 Sb 2.92
In 0.5000 0.5000 0.5000  4 Rb 4.12, 8 Na 4.51
Rb 0.0000 0.0000 0.5000  2 Sb 3.44
Sb 0.0000 0.0000 0.0000  4 Na 2.92



DFT (meta-GGA SCAN) results for NaIn2Rh2 at its PBEsol-relaxed geometry.

Values from the calculation:
**DFT formation energy**: -327 meV per atom
**Space group**: P4/mbm
**Volume**: 180.2 Å³/cell

Cell lengths 3.0082, 7.7402, 7.7402 Å; angles 90.00, 90.00, 90.00 degrees
Closest atoms and distances in Å follow each position.
Fractional coordinates of all 10 atoms:
Rh 0.5000 0.8541 0.3541  6 In 2.70-2.73, 2 Rh 3.01
Rh 0.5000 0.3541 0.1459  6 In 2.70-2.73, 2 Rh 3.01
Rh 0.5000 0.6459 0.8541  6 In 2.70-2.73, 2 Rh 3.01
Rh 0.5000 0.1459 0.6459  6 In 2.70-2.73, 2 Rh 3.01
Na 0.0000 0.0000 0.0000  4 In 2.95, 2 Na 3.01
Na 0.0000 0.5000 0.5000  4 In 2.95, 2 Na 3.01
In 0.0000 0.6489 0.1489  6 Rh 2.70-2.73, 2 Na 2.95, 2 In 3.01
In 0.0000 0.3511 0.8511  6 Rh 2.70-2.73, 2 Na 2.95, 2 In 3.01
In 0.0000 0.1489 0.3511  6 Rh 2.70-2.73, 2 Na 2.95, 2 In 3.01
In 0.0000 0.8511 0.6489  6 Rh 2.70-2.73, 2 Na 2.95, 2 In 3.01



no.,M_tot (μB per atom),energy (eV/atom),D(E_F) (states/eV per atom)
1,0.000,-36.8089,0.4095
2,0.000,-30.2400,0.7014
3,0.018,-16.5635,0.7545
4,0.000,-19.3082,0.4829
5,0.186,-19.9237,0.6999
6,0.000,-28.0327,0.3824